The following is a DFT calculation (meta-GGA SCAN) of a crystal of CaCr3Co relaxed with PBEsol.

Results
- space group = Pm-3m, No. 221
- crystal system = cubic
- formation energy (meV/atom) = 776

Unit cell a=4.4778 b=4.4778 c=4.4778 alpha=90.00 beta=90.00 gamma=90.00
Closest atoms and distances in Å follow each position.
Sites, in units of the cell vectors:
Ca 0.0000 0.0000 0.0000  12 Cr 3.17
Cr 0.0000 0.5000 0.5000  2 Co 2.24
Cr 0.5000 0.0000 0.5000  2 Co 2.24
Cr 0.5000 0.5000 0.0000  2 Co 2.24
Co 0.5000 0.5000 0.5000  6 Cr 2.24